[1]
## Rb2SrF (PBE)

Data for a relaxed structure of Rb2SrF.

Values from the calculation:
uncorrected formation energy = -452 meV per atom
space group = Fm-3m, No. 225

a b c (Å): 9.7328 9.7328 9.7328
angles (deg): 90.00 90.00 90.00
Closest atoms and distances in Å follow each position.
Positions (direct):
Rb 0.2500 0.2500 0.2500  4 F 4.21, 4 Sr 4.21
Rb 0.2500 0.2500 0.7500  4 F 4.21, 4 Sr 4.21
Rb 0.2500 0.7500 0.2500  4 F 4.21, 4 Sr 4.21
Rb 0.2500 0.7500 0.7500  4 F 4.21, 4 Sr 4.21
Rb 0.7500 0.2500 0.2500  4 F 4.21, 4 Sr 4.21
Rb 0.7500 0.2500 0.7500  4 F 4.21, 4 Sr 4.21
Rb 0.7500 0.7500 0.2500  4 F 4.21, 4 Sr 4.21
Rb 0.7500 0.7500 0.7500  4 F 4.21, 4 Sr 4.21
Sr 0.0000 0.0000 0.0000  8 Rb 4.21
Sr 0.0000 0.5000 0.5000  8 Rb 4.21
Sr 0.5000 0.0000 0.5000  8 Rb 4.21
Sr 0.5000 0.5000 0.0000  8 Rb 4.21
F 0.0000 0.0000 0.5000  8 Rb 4.21
F 0.0000 0.5000 0.0000  8 Rb 4.21
F 0.5000 0.0000 0.0000  8 Rb 4.21
F 0.5000 0.5000 0.5000  8 Rb 4.21

[2]
## YMoCl2 (PBE)

Data for a relaxed structure of YMoCl2.

Values from the calculation:
uncorrected formation energy = -302 meV per atom
space group = I-42d, No. 122

a b c (Å): 4.5213 4.5213 17.0923
angles (deg): 90.00 90.00 90.00
Closest atoms and distances in Å follow each position.
Positions (direct):
Y 0.0000 0.0000 0.0000  4 Cl 2.71
Y 0.0000 0.5000 0.2500  4 Cl 2.71
Y 0.5000 0.0000 0.7500  4 Cl 2.71
Y 0.5000 0.5000 0.5000  4 Cl 2.71
Mo 0.0000 0.0000 0.5000  4 Cl 2.63
Mo 0.0000 0.5000 0.7500  4 Cl 2.63
Mo 0.5000 0.0000 0.2500  4 Cl 2.63
Mo 0.5000 0.5000 0.0000  4 Cl 2.63
Cl 0.2281 0.2500 0.6250  2 Mo 2.63, 2 Y 2.71
Cl 0.2500 0.7281 0.8750  2 Mo 2.63, 2 Y 2.71
Cl 0.2500 0.7719 0.3750  2 Mo 2.63, 2 Y 2.71
Cl 0.2719 0.2500 0.1250  2 Mo 2.63, 2 Y 2.71
Cl 0.7281 0.7500 0.1250  2 Mo 2.63, 2 Y 2.71
Cl 0.7500 0.2281 0.3750  2 Mo 2.63, 2 Y 2.71
Cl 0.7500 0.2719 0.8750  2 Mo 2.63, 2 Y 2.71
Cl 0.7719 0.7500 0.6250  2 Mo 2.63, 2 Y 2.71

[3]
## HfNb2SnP (PBE)

Data for a relaxed structure of HfNb2SnP.

Values from the calculation:
space group = P4/mmm, No. 123
calculated formation energy = 1.59 eV per atom

a b c (Å): 4.9672 4.9672 5.3098
angles (deg): 90.00 90.00 90.00
Closest atoms and distances in Å follow each position.
Positions (direct):
Hf 0.0000 0.0000 0.0000  4 Nb 2.48, 2 Sn 2.65
Nb 0.0000 0.5000 0.0000  2 Hf 2.48
Nb 0.5000 0.0000 0.0000  2 Hf 2.48
Sn 0.0000 0.0000 0.5000  2 Hf 2.65
P 0.5000 0.5000 0.5000  4 Sn 3.51, 8 Nb 3.64

[4]
## TcIr2Rh (PBE)

Data for a relaxed structure of TcIr2Rh.

Values from the calculation:
space group = Pmmm, No. 47
calculated formation energy = -0.13 eV per atom

a b c (Å): 2.7202 3.8691 5.4715
angles (deg): 90.00 90.00 90.00
Closest atoms and distances in Å follow each position.
Positions (direct):
Tc 0.0000 0.0000 0.0000  2 Tc 2.72, 8 Ir 2.72, 2 Rh 2.74
Ir 0.5000 0.5000 0.2462  4 Ir 2.69-2.78, 4 Tc 2.72, 4 Rh 2.74
Ir 0.5000 0.5000 0.7538  4 Ir 2.69-2.78, 4 Tc 2.72, 4 Rh 2.74
Rh 0.0000 0.0000 0.5000  2 Rh 2.72, 2 Tc 2.74, 8 Ir 2.74

[5]
## CsAl2TeAu (PBE)

Data for a relaxed structure of CsAl2TeAu.

Values from the calculation:
uncorrected formation energy = 441 meV per atom
space group = P4/mmm, No. 123

a b c (Å): 5.8319 5.8319 5.5396
angles (deg): 90.00 90.00 90.00
Closest atoms and distances in Å follow each position.
Positions (direct):
Cs 0.0000 0.0000 0.0000  8 Al 4.02, 4 Au 4.12
Al 0.0000 0.5000 0.5000  2 Te 2.92
Al 0.5000 0.0000 0.5000  2 Te 2.92
Te 0.5000 0.5000 0.5000  2 Au 2.77, 4 Al 2.92
Au 0.5000 0.5000 0.0000  2 Te 2.77

[6]
## Cd2RePb (PBE)

Data for a relaxed structure of Cd2RePb.

Values from the calculation:
space group = P4mm, No. 99
calculated formation energy = 0.65 eV per atom

a b c (Å): 3.0617 3.0617 9.4973
angles (deg): 90.00 90.00 90.00
Closest atoms and distances in Å follow each position.
Positions (direct):
Cd 0.0000 0.0000 0.0000  4 Re 2.91, 8 Cd 3.06-3.19
Cd 0.5000 0.5000 0.2460  8 Cd 3.06-3.19
Re 0.5000 0.5000 0.7953  4 Cd 2.91, 4 Pb 3.04, 4 Re 3.06
Pb 0.0000 0.0000 0.5711  4 Re 3.04, 4 Pb 3.06

[7]
## Pm3Pu3MgSe8 (PBE)

Data for a relaxed structure of Pm3Pu3MgSe8.

Values from the calculation:
uncorrected formation energy = -1617 meV per atom
space group = C2/m, No. 12

a b c (Å): 8.3080 8.3080 8.2988
angles (deg): 119.85 119.85 60.11
Closest atoms and distances in Å follow each position.
Positions (direct):
Pm 0.0000 0.0000 0.0000  6 Se 2.95-2.96
Pm 0.0000 0.5000 0.5000  6 Se 2.95-2.96
Pm 0.5000 0.0000 0.5000  6 Se 2.95-2.96
Pu 0.0000 0.5000 0.0000  6 Se 2.92-2.94
Pu 0.5000 0.0000 0.0000  6 Se 2.92-2.94
Pu 0.5000 0.5000 0.5000  6 Se 2.93
Mg 0.0000 0.0000 0.5000  6 Se 2.82-2.84
Se 0.2414 0.2414 0.7439  1 Mg 2.84, 2 Pu 2.93, 2 Pm 2.95
Se 0.2407 0.7589 0.2600  1 Mg 2.82, 2 Pu 2.93-2.94, 2 Pm 2.95
Se 0.2411 0.7593 0.7400  1 Mg 2.82, 2 Pu 2.93-2.94, 2 Pm 2.95
Se 0.2513 0.2513 0.2480  3 Pu 2.92-2.93, 3 Pm 2.96
Se 0.7487 0.7487 0.7520  3 Pu 2.92-2.93, 3 Pm 2.96
Se 0.7589 0.2407 0.2600  1 Mg 2.82, 2 Pu 2.93-2.94, 2 Pm 2.95
Se 0.7593 0.2411 0.7400  1 Mg 2.82, 2 Pu 2.93-2.94, 2 Pm 2.95
Se 0.7586 0.7586 0.2561  1 Mg 2.84, 2 Pu 2.93, 2 Pm 2.95

[8]
## AsCIBr2 (PBE)

Data for a relaxed structure of AsCIBr2.

Values from the calculation:
uncorrected formation energy = 1187 meV per atom
space group = P4/mmm, No. 123

a b c (Å): 4.7667 4.7667 4.8145
angles (deg): 90.00 90.00 90.00
Closest atoms and distances in Å follow each position.
Positions (direct):
As 0.0000 0.0000 0.0000  2 C 2.41
C 0.0000 0.0000 0.5000  4 Br 2.38, 2 As 2.41
I 0.5000 0.5000 0.0000  4 As 3.37, 8 Br 3.39
Br 0.0000 0.5000 0.5000  2 C 2.38
Br 0.5000 0.0000 0.5000  2 C 2.38

[9]
## Pm2Y2Cd15 (PBE)

Data for a relaxed structure of Pm2Y2Cd15.

Values from the calculation:
space group = R-3m, No. 166
calculated formation energy = -0.14 eV per atom

a b c (Å): 8.8836 8.8836 8.8836
angles (deg): 58.62 58.62 58.62
Closest atoms and distances in Å follow each position.
Positions (direct):
Pm 0.0769 0.0769 0.0769  9 Cd 3.19-3.32, 1 Pm 3.38
Pm 0.9231 0.9231 0.9231  9 Cd 3.19-3.32, 1 Pm 3.38
Y 0.2679 0.2679 0.2679  12 Cd 3.26-3.35
Y 0.7321 0.7321 0.7321  12 Cd 3.26-3.35
Cd 0.0000 0.0000 0.5000  4 Cd 3.08, 2 Pm 3.19, 2 Y 3.35
Cd 0.0000 0.3286 0.6714  5 Cd 2.86-2.98
Cd 0.0000 0.5000 0.0000  4 Cd 3.08, 2 Pm 3.19, 2 Y 3.35
Cd 0.0000 0.6714 0.3286  5 Cd 2.86-2.98
Cd 0.1937 0.5745 0.5745  8 Cd 2.98-3.31, 1 Y 3.29
Cd 0.3286 0.0000 0.6714  5 Cd 2.86-2.98
Cd 0.3286 0.6714 0.0000  5 Cd 2.86-2.98
Cd 0.4255 0.4255 0.8063  8 Cd 2.98-3.31, 1 Y 3.29
Cd 0.4255 0.8063 0.4255  8 Cd 2.98-3.31, 1 Y 3.29
Cd 0.5000 0.0000 0.0000  4 Cd 3.08, 2 Pm 3.19, 2 Y 3.35
Cd 0.5745 0.1937 0.5745  8 Cd 2.98-3.31, 1 Y 3.29
Cd 0.5745 0.5745 0.1937  8 Cd 2.98-3.31, 1 Y 3.29
Cd 0.6714 0.0000 0.3286  5 Cd 2.86-2.98
Cd 0.6714 0.3286 0.0000  5 Cd 2.86-2.98
Cd 0.8063 0.4255 0.4255  8 Cd 2.98-3.31, 1 Y 3.29

[10]
## Pm5Sm4Y4 (PBE)

Data for a relaxed structure of Pm5Sm4Y4.

Values from the calculation:
space group = I4/m, No. 87
calculated formation energy = 0.01 eV per atom

a b c (Å): 9.5881 9.5881 9.5881
angles (deg): 94.06 94.06 149.12
Closest atoms and distances in Å follow each position.
Positions (direct):
Pm 0.0000 0.0000 0.0000  8 Pm 3.63, 4 Sm 3.63
Pm 0.3067 0.4613 0.7679  5 Sm 3.61-3.62, 3 Y 3.61-3.62, 4 Pm 3.63-3.64
Pm 0.4613 0.6933 0.1546  5 Sm 3.61-3.62, 3 Y 3.61-3.62, 4 Pm 3.63-3.64
Pm 0.5387 0.3067 0.8454  5 Sm 3.61-3.62, 3 Y 3.61-3.62, 4 Pm 3.63-3.64
Pm 0.6933 0.5387 0.2321  5 Sm 3.61-3.62, 3 Y 3.61-3.62, 4 Pm 3.63-3.64
Sm 0.1541 0.2313 0.3854  6 Pm 3.61-3.63, 2 Sm 3.61, 4 Y 3.62-3.64
Sm 0.2313 0.8459 0.0772  6 Pm 3.61-3.63, 2 Sm 3.61, 4 Y 3.62-3.64
Sm 0.7687 0.1541 0.9228  6 Pm 3.61-3.63, 2 Sm 3.61, 4 Y 3.62-3.64
Sm 0.8459 0.7687 0.6146  6 Pm 3.61-3.63, 2 Sm 3.61, 4 Y 3.62-3.64
Y 0.0767 0.6144 0.6911  5 Y 3.60, 3 Pm 3.61-3.62, 4 Sm 3.62-3.64
Y 0.3856 0.0767 0.4624  5 Y 3.60, 3 Pm 3.61-3.62, 4 Sm 3.62-3.64
Y 0.6144 0.9233 0.5376  5 Y 3.60, 3 Pm 3.61-3.62, 4 Sm 3.62-3.64
Y 0.9233 0.3856 0.3089  5 Y 3.60, 3 Pm 3.61-3.62, 4 Sm 3.62-3.64

[11]
## MgSiOs (PBE)

Data for a relaxed structure of MgSiOs.

Values from the calculation:
uncorrected formation energy = -300 meV per atom
space group = I4mm, No. 107

a b c (Å): 3.1162 3.1162 9.1848
angles (deg): 90.00 90.00 90.00
Closest atoms and distances in Å follow each position.
Positions (direct):
Mg 0.0000 0.0000 0.0000  5 Si 2.81-2.85, 5 Os 2.82-2.84, 4 Mg 3.12
Mg 0.5000 0.5000 0.5000  5 Si 2.81-2.85, 5 Os 2.82-2.84, 4 Mg 3.12
Si 0.0000 0.0000 0.3098  4 Os 2.46
Si 0.5000 0.5000 0.8098  4 Os 2.46
Os 0.0000 0.0000 0.6908  4 Si 2.46
Os 0.5000 0.5000 0.1908  4 Si 2.46

Please write out number 10 again, unchanged.
## Pm5Sm4Y4 (PBE)

Data for a relaxed structure of Pm5Sm4Y4.

Values from the calculation:
space group = I4/m, No. 87
calculated formation energy = 0.01 eV per atom

a b c (Å): 9.5881 9.5881 9.5881
angles (deg): 94.06 94.06 149.12
Closest atoms and distances in Å follow each position.
Positions (direct):
Pm 0.0000 0.0000 0.0000  8 Pm 3.63, 4 Sm 3.63
Pm 0.3067 0.4613 0.7679  5 Sm 3.61-3.62, 3 Y 3.61-3.62, 4 Pm 3.63-3.64
Pm 0.4613 0.6933 0.1546  5 Sm 3.61-3.62, 3 Y 3.61-3.62, 4 Pm 3.63-3.64
Pm 0.5387 0.3067 0.8454  5 Sm 3.61-3.62, 3 Y 3.61-3.62, 4 Pm 3.63-3.64
Pm 0.6933 0.5387 0.2321  5 Sm 3.61-3.62, 3 Y 3.61-3.62, 4 Pm 3.63-3.64
Sm 0.1541 0.2313 0.3854  6 Pm 3.61-3.63, 2 Sm 3.61, 4 Y 3.62-3.64
Sm 0.2313 0.8459 0.0772  6 Pm 3.61-3.63, 2 Sm 3.61, 4 Y 3.62-3.64
Sm 0.7687 0.1541 0.9228  6 Pm 3.61-3.63, 2 Sm 3.61, 4 Y 3.62-3.64
Sm 0.8459 0.7687 0.6146  6 Pm 3.61-3.63, 2 Sm 3.61, 4 Y 3.62-3.64
Y 0.0767 0.6144 0.6911  5 Y 3.60, 3 Pm 3.61-3.62, 4 Sm 3.62-3.64
Y 0.3856 0.0767 0.4624  5 Y 3.60, 3 Pm 3.61-3.62, 4 Sm 3.62-3.64
Y 0.6144 0.9233 0.5376  5 Y 3.60, 3 Pm 3.61-3.62, 4 Sm 3.62-3.64
Y 0.9233 0.3856 0.3089  5 Y 3.60, 3 Pm 3.61-3.62, 4 Sm 3.62-3.64